This record from Alexandria via LeMat-Bulk describes crystalline CdSb at its relaxed geometry. The functional is PBE.

Cell: 6.7996 6.7996 8.3887 Å, 65.44 65.44 27.46°
With the nearest neighbours (Å) after each atom.
Fractional coordinates of all 6 atoms:
Cd: 0.0545 0.0545 0.8823  4 Sb 2.97-3.19, 4 Cd 3.11-3.23
Cd: 0.5567 0.5567 0.3909  5 Sb 3.03-3.21, 3 Cd 3.17-3.23
Cd: 0.7269 0.7269 0.5657  3 Sb 3.01-3.20, 5 Cd 3.11-3.23
Sb: 0.9014 0.9014 0.7069  4 Cd 2.97-3.03, 2 Sb 3.23
Sb: 0.3825 0.3825 0.2173  3 Sb 3.01-3.23, 5 Cd 3.19-3.21
Sb: 0.2112 0.2112 0.0702  3 Sb 3.01-3.23, 3 Cd 3.05-3.09

Properties
Energy above the most stable polymorph in this dataset: 0.23 eV per formula unit
Space-group type: Cm, No. 8
Energy: -0.0901 Ha/atom
E_form (uncorrected): 0.0667 eV per atom